i | An optimized crystal structure of AcGa4Fe. Source: Alexandria, functional PBE.

```
data_AcGa4Fe
_chemical_formula_sum 'Ac2 Ga8 Fe2'
_cell_length_a 4.115
_cell_length_b 7.308
_cell_length_c 7.741
_cell_angle_alpha 90.00
_cell_angle_beta 90.00
_cell_angle_gamma 90.00
_symmetry_space_group_name_H-M 'P 1'
_symmetry_Int_Tables_number 1
loop_
_symmetry_equiv_pos_as_xyz
'x,y,z'
loop_
_atom_site_label
_atom_site_fract_x
_atom_site_fract_y
_atom_site_fract_z
Ac1 0.000 0.617 0.750
Ac2 0.000 0.383 0.250
Ga1 0.000 0.000 0.500
Ga2 0.000 0.000 0.000
Ga3 0.500 0.958 0.750
Ga4 0.500 0.042 0.250
Ga5 0.500 0.713 0.074
Ga6 0.500 0.287 0.926
Ga7 0.500 0.713 0.426
Ga8 0.500 0.287 0.574
Fe1 0.000 0.179 0.750
Fe2 0.000 0.821 0.250
```

DOS at the Fermi energy = 8.022 states/eV/cell
Theoretical density = 8.01 g/cm³


ii | An optimized crystal structure of AcGa4Fe. Source: Alexandria, functional PBE.

```
data_AcGa4Fe
_chemical_formula_sum 'Ac1 Ga4 Fe1'
_cell_length_a 4.581
_cell_length_b 4.581
_cell_length_c 6.845
_cell_angle_alpha 89.99
_cell_angle_beta 90.03
_cell_angle_gamma 90.00
_symmetry_space_group_name_H-M 'P 1'
_symmetry_Int_Tables_number 1
loop_
_symmetry_equiv_pos_as_xyz
'x,y,z'
loop_
_atom_site_label
_atom_site_fract_x
_atom_site_fract_y
_atom_site_fract_z
Ac1 0.500 0.000 0.000
Ga1 0.000 0.500 0.171
Ga2 0.000 0.500 0.829
Ga3 0.000 0.000 0.500
Ga4 0.500 0.500 0.500
Fe1 0.000 0.500 0.500
```

DOS at the Fermi energy = 3.742 states/eV/cell
Theoretical density = 6.49 g/cm³


Q: Which of them is the most stable? A: i.